[1]
Er5InCo4: optimized geometry, PBE.

Summary:
The formation energy from the elements is -255 meV per atom.

Lattice parameters (Å, degrees): 3.325 3.325 17.850 90.00 90.00 90.00
Fractional coordinates of all 10 atoms:
Er  0.000  0.000  0.000
Er  0.000  0.000  0.184
Er  0.000  0.000  0.369
Er  0.000  0.000  0.631
Er  0.000  0.000  0.816
In  0.500  0.500  0.500
Co  0.500  0.500  0.092
Co  0.500  0.500  0.280
Co  0.500  0.500  0.720
Co  0.500  0.500  0.908

***

[2]
Mg2SiSb: optimized geometry, PBE.

Summary:
The calculation puts the formation energy from raw total energies at 80 meV per atom.

Lattice parameters (Å, degrees): 3.206 4.432 6.145 90.00 90.00 90.00
Fractional coordinates of all 4 atoms:
Mg  0.000  0.000  0.000
Mg  0.500  0.500  0.314
Si  0.500  0.500  0.858
Sb  0.000  0.000  0.512

***

[3]
BaTaP2S: optimized geometry, PBE.

Summary:
The calculation puts the formation energy from raw total energies at -811 meV per atom.

Lattice parameters (Å, degrees): 4.886 4.886 4.987 90.00 90.00 90.00
Fractional coordinates of all 5 atoms:
Ba  0.000  0.000  0.000
Ta  0.500  0.500  0.500
P  0.000  0.500  0.500
P  0.500  0.000  0.500
S  0.500  0.500  0.000

***

[4]
Mg3HgRh: optimized geometry, PBE.

Summary:
The formation energy from the elements is -78 meV per atom.

Lattice parameters (Å, degrees): 4.953 4.953 4.953 90.00 90.00 90.00
Fractional coordinates of all 5 atoms:
Mg  0.000  0.000  0.500
Mg  0.000  0.500  0.000
Mg  0.500  0.000  0.000
Hg  0.500  0.500  0.500
Rh  0.000  0.000  0.000

***

[5]
MgGa2Re2: optimized geometry, PBE.

Summary:
The formation energy from the elements is 216 meV per atom.

Lattice parameters (Å, degrees): 6.719 6.719 3.401 90.00 90.00 90.00
Fractional coordinates of all 10 atoms:
Mg  0.000  0.000  0.000
Mg  0.500  0.500  0.000
Ga  0.133  0.367  0.000
Ga  0.367  0.867  0.000
Ga  0.633  0.133  0.000
Ga  0.867  0.633  0.000
Re  0.165  0.665  0.500
Re  0.335  0.165  0.500
Re  0.665  0.835  0.500
Re  0.835  0.335  0.500

***

[6]
K2BaMo: optimized geometry, PBE.

Summary:
The formation energy from the elements is 1151 meV per atom.

Lattice parameters (Å, degrees): 14.809 14.809 14.809 159.90 159.90 28.57
Fractional coordinates of all 8 atoms:
K  0.100  0.625  0.975
K  0.375  0.350  0.475
K  0.650  0.125  0.025
K  0.875  0.900  0.525
Ba  0.250  0.750  0.500
Ba  0.500  0.500  0.000
Mo  0.000  0.000  0.000
Mo  0.750  0.250  0.500

***

[7]
Pm4Al3Au: optimized geometry, PBE.

Summary:
The formation energy from the elements is -456 meV per atom.

Lattice parameters (Å, degrees): 3.796 4.587 11.981 90.00 90.00 90.00
Fractional coordinates of all 8 atoms:
Pm  0.000  0.000  0.000
Pm  0.000  0.500  0.296
Pm  0.500  0.000  0.494
Pm  0.500  0.500  0.804
Al  0.000  0.000  0.714
Al  0.000  0.500  0.582
Al  0.500  0.500  0.082
Au  0.500  0.000  0.217

***

[8]
DyGa2CuNi: optimized geometry, PBE.

Summary:
The formation energy from the elements is -470 meV per atom.

Lattice parameters (Å, degrees): 5.757 5.757 5.757 137.95 137.95 60.98
Fractional coordinates of all 5 atoms:
Dy  0.000  0.000  0.000
Ga  0.373  0.373  0.000
Ga  0.627  0.627  0.000
Cu  0.250  0.750  0.500
Ni  0.750  0.250  0.500

***

[9]
CdS2N: optimized geometry, PBE.

Summary:
The calculation puts the formation energy from raw total energies at 511 meV per atom.

Lattice parameters (Å, degrees): 8.153 8.153 8.153 25.08 25.08 25.08
Fractional coordinates of all 4 atoms:
Cd  0.000  0.000  0.000
S  0.435  0.435  0.435
S  0.565  0.565  0.565
N  0.500  0.500  0.500

***

[10]
Ce4BiTe5: optimized geometry, PBE.

Summary:
The calculation puts the formation energy from raw total energies at -1155 meV per atom.

Lattice parameters (Å, degrees): 10.112 10.112 9.125 106.26 106.26 25.90
Fractional coordinates of all 10 atoms:
Ce  0.005  0.005  0.261
Ce  0.326  0.326  0.889
Ce  0.674  0.674  0.111
Ce  0.995  0.995  0.739
Bi  0.500  0.500  0.000
Te  0.163  0.163  0.859
Te  0.167  0.167  0.338
Te  0.500  0.500  0.500
Te  0.833  0.833  0.662
Te  0.837  0.837  0.141

***

[11]
RbCdInF6: optimized geometry, PBE.

Summary:
The calculation puts the formation energy from raw total energies at -2488 meV per atom.

Lattice parameters (Å, degrees): 7.995 7.995 7.995 121.74 118.92 89.45
Fractional coordinates of all 18 atoms:
Rb  0.344  0.094  0.250
Rb  0.656  0.906  0.750
Cd  0.000  0.000  0.500
Cd  0.000  0.500  0.000
In  0.000  0.500  0.500
In  0.500  0.500  0.000
F  0.084  0.427  0.266
F  0.084  0.818  0.657
F  0.092  0.842  0.250
F  0.305  0.555  0.750
F  0.339  0.182  0.766
F  0.339  0.573  0.157
F  0.661  0.427  0.843
F  0.661  0.818  0.234
F  0.695  0.445  0.250
F  0.908  0.158  0.750
F  0.916  0.182  0.343
F  0.916  0.573  0.734

***

[12]
Tb2SbIr: optimized geometry, PBE.

Summary:
The calculation puts the formation energy from raw total energies at -794 meV per atom.

Lattice parameters (Å, degrees): 3.545 3.545 7.627 90.00 90.00 90.00
Fractional coordinates of all 4 atoms:
Tb  0.000  0.000  0.217
Tb  0.000  0.000  0.783
Sb  0.500  0.500  0.500
Ir  0.500  0.500  0.000

***

[13]
Cd6HgPb3: optimized geometry, PBE.

Summary:
The formation energy from the elements is 421 meV per atom.

Lattice parameters (Å, degrees): 7.830 7.830 7.830 60.00 60.00 60.00
Fractional coordinates of all 10 atoms:
Cd  0.244  0.244  0.756
Cd  0.244  0.756  0.244
Cd  0.244  0.756  0.756
Cd  0.756  0.244  0.244
Cd  0.756  0.244  0.756
Cd  0.756  0.756  0.244
Hg  0.000  0.000  0.000
Pb  0.250  0.250  0.250
Pb  0.500  0.500  0.500
Pb  0.750  0.750  0.750

***

[14]
CuP2Pt7Pb2: optimized geometry, PBE.

Summary:
The formation energy from the elements is -310 meV per atom.

Lattice parameters (Å, degrees): 15.153 15.152 3.924 82.56 82.56 14.88
Fractional coordinates of all 12 atoms:
Cu  0.000  0.000  0.000
P  0.388  0.388  0.612
P  0.612  0.612  0.388
Pt  0.068  0.068  0.432
Pt  0.311  0.311  0.689
Pt  0.432  0.432  0.068
Pt  0.500  0.500  0.500
Pt  0.568  0.568  0.932
Pt  0.689  0.689  0.311
Pt  0.932  0.932  0.568
Pb  0.211  0.211  0.789
Pb  0.789  0.789  0.211

***

[15]
As2PSBr: optimized geometry, PBE.

Summary:
The calculation puts the formation energy from raw total energies at 862 meV per atom.

Lattice parameters (Å, degrees): 4.918 4.918 4.781 90.00 90.00 90.00
Fractional coordinates of all 5 atoms:
As  0.000  0.500  0.000
As  0.500  0.000  0.000
P  0.000  0.000  0.000
S  0.500  0.500  0.500
Br  0.000  0.000  0.500

***

[16]
SmHo2Sn9: optimized geometry, PBE.

Summary:
The formation energy from the elements is -428 meV per atom.

Lattice parameters (Å, degrees): 4.697 4.697 14.330 90.00 90.00 90.00
Fractional coordinates of all 12 atoms:
Sm  0.000  0.000  0.000
Ho  0.000  0.000  0.333
Ho  0.000  0.000  0.667
Sn  0.000  0.500  0.170
Sn  0.000  0.500  0.500
Sn  0.000  0.500  0.830
Sn  0.500  0.000  0.170
Sn  0.500  0.000  0.500
Sn  0.500  0.000  0.830
Sn  0.500  0.500  0.000
Sn  0.500  0.500  0.335
Sn  0.500  0.500  0.665

***

[17]
GdZrCd4: optimized geometry, PBE.

Summary:
The formation energy from the elements is -136 meV per atom.

Lattice parameters (Å, degrees): 5.813 5.813 5.813 60.00 60.00 60.00
Fractional coordinates of all 6 atoms:
Gd  0.000  0.000  0.000
Zr  0.250  0.250  0.250
Cd  0.126  0.625  0.625
Cd  0.625  0.126  0.625
Cd  0.625  0.625  0.126
Cd  0.625  0.625  0.625

***

[18]
AlGaSe2Br: optimized geometry, PBE.

Summary:
The calculation puts the formation energy from raw total energies at -278 meV per atom.

Lattice parameters (Å, degrees): 4.902 4.902 5.313 90.00 90.00 90.00
Fractional coordinates of all 5 atoms:
Al  0.000  0.000  0.000
Ga  0.500  0.500  0.500
Se  0.000  0.500  0.000
Se  0.500  0.000  0.000
Br  0.000  0.000  0.500

***

[19]
CsTeBr2: optimized geometry, PBE.

Summary:
The calculation puts the formation energy from raw total energies at -756 meV per atom.

Lattice parameters (Å, degrees): 9.179 9.179 9.179 36.73 36.73 36.73
Fractional coordinates of all 4 atoms:
Cs  0.000  0.000  0.000
Te  0.500  0.500  0.500
Br  0.393  0.393  0.393
Br  0.607  0.607  0.607

***

[20]
Na4PrTh3Se8: optimized geometry, PBE.

Summary:
The calculation puts the formation energy from raw total energies at -1528 meV per atom.

Lattice parameters (Å, degrees): 8.666 8.666 8.666 57.88 57.88 57.88
Fractional coordinates of all 16 atoms:
Na  0.000  0.000  0.000
Na  0.000  0.500  0.500
Na  0.500  0.000  0.500
Na  0.500  0.500  0.000
Pr  0.500  0.500  0.500
Th  0.000  0.000  0.500
Th  0.000  0.500  0.000
Th  0.500  0.000  0.000
Se  0.242  0.750  0.750
Se  0.248  0.248  0.248
Se  0.250  0.250  0.758
Se  0.250  0.758  0.250
Se  0.750  0.242  0.750
Se  0.750  0.750  0.242
Se  0.752  0.752  0.752
Se  0.758  0.250  0.250

***

One value per record, in order, for electronic total energy: -5.6527, -3.1035, -6.5551, -2.5657, -6.2932, -2.5864, -4.6444, -4.5771, -3.8633, -5.4880, -4.2495, -6.3548, -1.2707, -5.6944, -3.2402, -4.5865, -4.5172, -3.3602, -2.5910, -5.2897 eV/atom.